[1]
# Ac2Ni2Ge, optimized geometry, DFT PBE-GGA
# theoretical density = 9.47 g cm⁻³
# E = -52.974 eV per cell
# formation energy from the elements = -0.42 eV per atom
data_Ac2Ni2Ge
_cell_length_a 4.300
_cell_length_b 5.621
_cell_length_c 9.342
_cell_angle_alpha 90.00
_cell_angle_beta 90.00
_cell_angle_gamma 90.00
_symmetry_space_group_name_H-M 'I m m m'
_symmetry_Int_Tables_number 71
_symmetry_space_group_name_Hall '-I 2 2'
loop_
_atom_site_label
_atom_site_fract_x
_atom_site_fract_y
_atom_site_fract_z
Ac1 0.000 0.000 0.192
Ni1 0.000 0.249 0.500
Ge1 0.000 0.500 0.000


[2]
# TiCrPdRh, optimized geometry, DFT PBE-GGA
# theoretical density = 8.54 g cm⁻³
# E = -125.072 eV per cell
# formation energy from the elements = -0.30 eV per atom
data_TiCrPdRh
_cell_length_a 6.219
_cell_length_b 6.219
_cell_length_c 6.219
_cell_angle_alpha 90.00
_cell_angle_beta 90.00
_cell_angle_gamma 90.00
_symmetry_space_group_name_H-M 'F -4 3 m'
_symmetry_Int_Tables_number 216
_symmetry_space_group_name_Hall 'F -4 2 3'
loop_
_atom_site_label
_atom_site_fract_x
_atom_site_fract_y
_atom_site_fract_z
Ti1 0.000 0.000 0.000
Cr1 0.000 0.000 0.500
Pd1 0.250 0.250 0.250
Rh1 0.250 0.250 0.750


[3]
# LaTb3Sm2, optimized geometry, DFT PBE-GGA
# theoretical density = 7.44 g cm⁻³
# E = -107.910 eV per cell
# formation energy from the elements = 0.21 eV per atom
data_LaTb3Sm2
_cell_length_a 9.619
_cell_length_b 13.270
_cell_length_c 6.411
_cell_angle_alpha 90.00
_cell_angle_beta 90.00
_cell_angle_gamma 90.00
_symmetry_space_group_name_H-M 'C m c 21'
_symmetry_Int_Tables_number 36
loop_
_symmetry_equiv_pos_as_xyz
'x,y,z'
'-x,-y,z+1/2'
'-x,y,z'
'x,-y,z+1/2'
'x+1/2,y+1/2,z'
'-x+1/2,-y+1/2,z+1/2'
'-x+1/2,y+1/2,z'
'x+1/2,-y+1/2,z+1/2'
loop_
_atom_site_label
_atom_site_fract_x
_atom_site_fract_y
_atom_site_fract_z
La1 0.000 0.176 0.000
Tb1 0.000 0.081 0.526
Tb2 0.181 0.304 0.329
Sm1 0.181 0.443 0.784


[4]
# TiNb3S, optimized geometry, DFT PBE-GGA
# theoretical density = 5.64 g cm⁻³
# E = -35.613 eV per cell
data_TiNb3S
_cell_length_a 4.727
_cell_length_b 4.727
_cell_length_c 4.727
_cell_angle_alpha 90.00
_cell_angle_beta 90.00
_cell_angle_gamma 90.00
_symmetry_space_group_name_H-M 'P m -3 m'
_symmetry_Int_Tables_number 221
_symmetry_space_group_name_Hall '-P 4 2 3'
loop_
_atom_site_label
_atom_site_fract_x
_atom_site_fract_y
_atom_site_fract_z
Ti1 0.000 0.000 0.000
Nb1 0.000 0.000 0.500
S1 0.500 0.500 0.500


[5]
# PrSmZr, optimized geometry, DFT PBE-GGA
# theoretical density = 7.00 g cm⁻³
# E = -17.625 eV per cell
# formation energy from the elements = 0.14 eV per atom
data_PrSmZr
_cell_length_a 3.4797
_cell_length_b 3.4797
_cell_length_c 8.6548
_cell_angle_alpha 90.00
_cell_angle_beta 90.00
_cell_angle_gamma 120.00
_symmetry_space_group_name_H-M 'P 3 m 1'
_symmetry_Int_Tables_number 156
loop_
_symmetry_equiv_pos_as_xyz
'x,y,z'
'-y,x-y,z'
'-x+y,-x,z'
'-y,-x,z'
'-x+y,y,z'
'x,x-y,z'
loop_
_atom_site_label
_atom_site_fract_x
_atom_site_fract_y
_atom_site_fract_z
Pr1 0.0000 0.0000 0.0000
Sm1 0.6667 0.3333 0.3777
Zr1 0.3333 0.6667 0.6849


[6]
# TlBi2PtCl, optimized geometry, DFT PBE-GGA
# theoretical density = 9.29 g cm⁻³
# E = -17.536 eV per cell
data_TlBi2PtCl
_cell_length_a 5.512
_cell_length_b 5.512
_cell_length_c 5.017
_cell_angle_alpha 90.00
_cell_angle_beta 90.00
_cell_angle_gamma 90.00
_symmetry_space_group_name_H-M 'P 4/m m m'
_symmetry_Int_Tables_number 123
_symmetry_space_group_name_Hall '-P 4 2'
loop_
_atom_site_label
_atom_site_fract_x
_atom_site_fract_y
_atom_site_fract_z
Tl1 0.000 0.000 0.000
Bi1 0.000 0.500 0.500
Pt1 0.500 0.500 0.500
Cl1 0.500 0.500 0.000


[7]
# NdDy2YHo6, optimized geometry, DFT PBE-GGA
# theoretical density = 7.99 g cm⁻³
# E = -186.872 eV per cell
# formation energy from the elements = 0.12 eV per atom
data_NdDy2YHo6
_cell_length_a 9.038
_cell_length_b 15.042
_cell_length_c 9.535
_cell_angle_alpha 90.00
_cell_angle_beta 97.28
_cell_angle_gamma 90.00
_symmetry_space_group_name_H-M 'C 1 2/c 1'
_symmetry_Int_Tables_number 15
loop_
_symmetry_equiv_pos_as_xyz
'x,y,z'
'-x,-y,-z'
'-x,y,-z+1/2'
'x,-y,z+1/2'
'x+1/2,y+1/2,z'
'-x+1/2,-y+1/2,-z'
'-x+1/2,y+1/2,-z+1/2'
'x+1/2,-y+1/2,z+1/2'
loop_
_atom_site_label
_atom_site_fract_x
_atom_site_fract_y
_atom_site_fract_z
Nd1 0.000 0.025 0.250
Dy1 0.249 0.447 0.455
Y1 0.000 0.409 0.750
Ho1 0.064 0.187 0.943
Ho2 0.100 0.391 0.119
Ho3 0.206 0.227 0.318


[8]
# Tm2CI, optimized geometry, DFT PBE-GGA
# theoretical density = 7.03 g cm⁻³
# E = -42.093 eV per cell
data_Tm2CI
_cell_length_a 3.886
_cell_length_b 9.595
_cell_length_c 6.037
_cell_angle_alpha 90.00
_cell_angle_beta 90.00
_cell_angle_gamma 90.00
_symmetry_space_group_name_H-M 'P m n 21'
_symmetry_Int_Tables_number 31
loop_
_symmetry_equiv_pos_as_xyz
'x,y,z'
'-x+1/2,-y,z+1/2'
'-x,y,z'
'x+1/2,-y,z+1/2'
loop_
_atom_site_label
_atom_site_fract_x
_atom_site_fract_y
_atom_site_fract_z
Tm1 0.000 0.065 0.000
Tm2 0.000 0.696 0.805
C1 0.000 0.911 0.704
I1 0.000 0.354 0.721


Repeat the third record exactly.
# LaTb3Sm2, optimized geometry, DFT PBE-GGA
# theoretical density = 7.44 g cm⁻³
# E = -107.910 eV per cell
# formation energy from the elements = 0.21 eV per atom
data_LaTb3Sm2
_cell_length_a 9.619
_cell_length_b 13.270
_cell_length_c 6.411
_cell_angle_alpha 90.00
_cell_angle_beta 90.00
_cell_angle_gamma 90.00
_symmetry_space_group_name_H-M 'C m c 21'
_symmetry_Int_Tables_number 36
loop_
_symmetry_equiv_pos_as_xyz
'x,y,z'
'-x,-y,z+1/2'
'-x,y,z'
'x,-y,z+1/2'
'x+1/2,y+1/2,z'
'-x+1/2,-y+1/2,z+1/2'
'-x+1/2,y+1/2,z'
'x+1/2,-y+1/2,z+1/2'
loop_
_atom_site_label
_atom_site_fract_x
_atom_site_fract_y
_atom_site_fract_z
La1 0.000 0.176 0.000
Tb1 0.000 0.081 0.526
Tb2 0.181 0.304 0.329
Sm1 0.181 0.443 0.784


Question: Number 3 is which compound?
Answer: LaTb3Sm2